No. 1
Computed, not measured: crystalline HoAl2Pt5 at its relaxed geometry at the PBE-GGA level of DFT.

a b c (Å): 3.8419 6.4772 6.4772
angles (deg): 66.34 72.75 72.75
Closest atoms and distances in Å follow each position.
Fractional coordinates of all 8 atoms:
Pt: 0.6409 0.5639 0.1543  3 Al 2.40-2.62
Al: 0.2422 0.2578 0.2578  7 Pt 2.40-2.62
Al: 0.7578 0.7422 0.7422  7 Pt 2.40-2.62
Pt: 0.6409 0.1543 0.5639  3 Al 2.40-2.62
Pt: 0.3591 0.8457 0.4361  3 Al 2.40-2.62
Pt: 0.3591 0.4361 0.8457  3 Al 2.40-2.62
Pt: 0.0000 0.5000 0.5000  2 Al 2.46
Ho: 0.0000 0.0000 0.0000  10 Pt 3.18-3.54, 4 Al 3.24

Properties
DFT formation energy: -0.9422 eV/atom
Symmetry: Immm, No. 71
D(E_F): 3.3 states/eV/f.u.

No. 2
Computed, not measured: crystalline HoAl2Pt3 at its relaxed geometry at the PBE-GGA level of DFT.

a b c (Å): 5.4681 6.3591 6.3591
angles (deg): 102.47 90.00 90.00
Closest atoms and distances in Å follow each position.
Fractional coordinates of all 12 atoms:
Al: 0.0000 0.2170 0.7830  4 Pt 2.45-2.55, 2 Al 2.73
Al: 0.0000 0.7830 0.2170  4 Pt 2.45-2.55, 2 Al 2.73
Al: 0.5000 0.7830 0.2170  4 Pt 2.45-2.55, 2 Al 2.73
Ho: 0.2500 0.3376 0.3376  5 Pt 2.82-3.14
Pt: 0.7500 0.4548 0.1502  2 Al 2.45, 1 Pt 2.73
Pt: 0.7500 0.0166 0.0166  4 Al 2.55, 4 Pt 2.73-2.75, 1 Ho 2.82
Pt: 0.2500 0.9834 0.9834  4 Al 2.55, 4 Pt 2.73-2.75, 1 Ho 2.82
Pt: 0.7500 0.1502 0.4548  2 Al 2.45, 1 Pt 2.73
Al: 0.5000 0.2170 0.7830  4 Pt 2.45-2.55, 2 Al 2.73
Pt: 0.2500 0.8498 0.5452  2 Al 2.45, 1 Pt 2.73
Ho: 0.7500 0.6624 0.6624  5 Pt 2.82-3.14
Pt: 0.2500 0.5452 0.8498  2 Al 2.45, 1 Pt 2.73

Properties
DFT formation energy: -1.0466 eV/atom
Symmetry: Cmcm, No. 63
D(E_F): 2.5 states/eV/f.u.

No. 3
Computed, not measured: crystalline Ho2AlPt4 at its relaxed geometry at the PBE-GGA level of DFT.

a b c (Å): 4.9172 4.9172 8.0450
angles (deg): 117.11 117.11 67.49
Closest atoms and distances in Å follow each position.
Fractional coordinates of all 7 atoms:
Al: 0.0000 0.0000 0.0000  6 Pt 2.46-2.55
Ho: 0.6607 0.6607 0.2885  8 Pt 2.93-3.16
Pt: 0.0000 0.5000 0.0000  2 Al 2.46, 2 Pt 2.73
Pt: 0.6764 0.6764 0.6615  1 Al 2.55, 3 Pt 2.62-2.80
Ho: 0.3393 0.3393 0.7115  8 Pt 2.93-3.16
Pt: 0.3236 0.3236 0.3385  1 Al 2.55, 3 Pt 2.62-2.80
Pt: 0.5000 0.0000 0.0000  2 Al 2.46, 2 Pt 2.73

Properties
DFT formation energy: -0.9884 eV/atom
Symmetry: C2/m, No. 12
D(E_F): 3.7 states/eV/f.u.

No. 4
Computed, not measured: crystalline Ho2AlPt6 at its relaxed geometry at the PBE-GGA level of DFT.

a b c (Å): 5.6053 5.5749 6.2497
angles (deg): 77.92 90.00 120.18
Closest atoms and distances in Å follow each position.
Fractional coordinates of all 9 atoms:
Pt: 0.8740 0.2640 0.6923  1 Al 2.49, 2 Pt 2.71-2.73
Pt: 0.6101 0.7360 0.3077  1 Al 2.49, 2 Pt 2.71-2.73
Pt: 0.8779 0.7558 0.6949  1 Al 2.47, 2 Pt 2.73
Ho: 0.3536 0.7073 0.8631  9 Pt 2.96-3.13, 1 Al 3.31
Al: 0.0000 0.0000 0.0000  6 Pt 2.47-2.49
Pt: 0.1260 0.7360 0.3077  1 Al 2.49, 2 Pt 2.71-2.73
Ho: 0.6464 0.2927 0.1369  9 Pt 2.96-3.13, 1 Al 3.31
Pt: 0.1221 0.2442 0.3051  1 Al 2.47, 2 Pt 2.73
Pt: 0.3899 0.2640 0.6923  1 Al 2.49, 2 Pt 2.71-2.73

Properties
DFT formation energy: -1.0975 eV/atom
Symmetry: C2/m, No. 12
D(E_F): 3.2 states/eV/f.u.

No. 5
Computed, not measured: crystalline HoAlPt2 at its relaxed geometry at the PBE-GGA level of DFT.

a b c (Å): 3.1556 3.1556 7.0533
angles (deg): 90.00 90.00 90.00
Closest atoms and distances in Å follow each position.
Fractional coordinates of all 4 atoms:
Ho: 0.5000 0.5000 0.5000  8 Pt 3.03, 4 Ho 3.16
Al: 0.5000 0.5000 0.0000  8 Pt 2.68
Pt: 0.0000 0.0000 0.2094  4 Al 2.68, 1 Pt 2.95
Pt: 0.0000 0.0000 0.7906  4 Al 2.68, 1 Pt 2.95

Properties
DFT formation energy: -1.0539 eV/atom
Symmetry: P4/mmm, No. 123
D(E_F): 2.2 states/eV/f.u.

No. 6
Computed, not measured: crystalline HoAl6Pt3 at its relaxed geometry at the PBE-GGA level of DFT.

a b c (Å): 4.1357 8.0733 10.6273
angles (deg): 96.90 90.00 90.00
Closest atoms and distances in Å follow each position.
Fractional coordinates of all 20 atoms:
Pt: 0.7500 0.1274 0.0634  4 Al 2.53-2.70
Al: 0.7500 0.7352 0.3071  3 Pt 2.54-2.65, 1 Al 2.80
Al: 0.2500 0.5845 0.4403  3 Pt 2.59-2.62, 5 Al 2.80-2.86
Al: 0.2500 0.5558 0.9188  4 Pt 2.54-2.63, 2 Al 2.79
Ho: 0.2500 0.9891 0.2269  7 Al 2.83-3.10, 5 Pt 2.92-3.12
Al: 0.2500 0.2082 0.9477  5 Pt 2.53-2.81, 1 Al 2.80
Al: 0.7500 0.6602 0.7702  2 Pt 2.49-2.53, 2 Al 2.79
Al: 0.7500 0.0646 0.4379  2 Pt 2.61, 3 Al 2.73-2.85
Pt: 0.2500 0.2626 0.4537  7 Al 2.53-2.62
Pt: 0.2500 0.6267 0.1652  6 Al 2.49-2.65
Al: 0.2500 0.3398 0.2298  2 Pt 2.49-2.53, 2 Al 2.79
Al: 0.2500 0.9354 0.5621  2 Pt 2.61, 3 Al 2.73-2.85
Al: 0.7500 0.4155 0.5597  3 Pt 2.59-2.62, 5 Al 2.80-2.86
Pt: 0.7500 0.7374 0.5463  7 Al 2.53-2.62
Pt: 0.7500 0.3733 0.8348  6 Al 2.49-2.65
Ho: 0.7500 0.0109 0.7731  7 Al 2.83-3.10, 5 Pt 2.92-3.12
Al: 0.2500 0.2648 0.6929  3 Pt 2.54-2.65, 1 Al 2.80
Al: 0.7500 0.7918 0.0523  5 Pt 2.53-2.81, 1 Al 2.80
Al: 0.7500 0.4442 0.0812  4 Pt 2.54-2.63, 2 Al 2.79
Pt: 0.2500 0.8726 0.9366  4 Al 2.53-2.70

Properties
DFT formation energy: -0.7989 eV/atom
Symmetry: P2_1/m, No. 11
D(E_F): 2.1 states/eV/f.u.

No. 7
Computed, not measured: crystalline Ho2Al3Pt2 at its relaxed geometry at the PBE-GGA level of DFT.

a b c (Å): 4.2386 5.5272 6.8951
angles (deg): 112.82 90.00 112.55
Closest atoms and distances in Å follow each position.
Fractional coordinates of all 7 atoms:
Al: 0.3724 0.7447 0.5606  3 Pt 2.56-2.65, 1 Al 2.75
Ho: 0.1466 0.2933 0.7799  4 Pt 2.94-3.04, 4 Al 3.11-3.27
Al: 0.6276 0.2553 0.4394  3 Pt 2.56-2.65, 1 Al 2.75
Ho: 0.8534 0.7067 0.2201  4 Pt 2.94-3.04, 4 Al 3.11-3.27
Al: 0.5000 0.0000 0.0000  4 Pt 2.64, 2 Al 2.75
Pt: 0.1401 0.2803 0.2162  5 Al 2.56-2.65
Pt: 0.8599 0.7197 0.7838  5 Al 2.56-2.65

Properties
DFT formation energy: -1.0108 eV/atom
Symmetry: C2/m, No. 12
D(E_F): 5.6 states/eV/f.u.

No. 8
Computed, not measured: crystalline HoAl2Pt3 at its relaxed geometry at the PBE-GGA level of DFT.

a b c (Å): 4.0465 8.5416 9.9484
angles (deg): 106.79 90.00 103.70
Closest atoms and distances in Å follow each position.
Fractional coordinates of all 18 atoms:
Al: 0.1945 0.3891 0.1232  6 Pt 2.49-2.61
Pt: 0.3254 0.6508 0.0500  4 Al 2.42-2.61
Al: 0.8055 0.6109 0.8768  6 Pt 2.49-2.61
Pt: 0.5000 0.0000 0.5000  4 Al 2.52-2.64
Pt: 0.3865 0.7730 0.8145  4 Al 2.50-2.63
Al: 0.3613 0.7227 0.5544  7 Pt 2.43-2.62
Pt: 0.6746 0.3492 0.9500  4 Al 2.42-2.61
Al: 0.6387 0.2773 0.4456  7 Pt 2.43-2.62
Pt: 0.0409 0.0818 0.3341  4 Al 2.47-2.62
Ho: 0.8384 0.6767 0.2967  7 Pt 3.13-3.49, 6 Al 3.13-3.21
Pt: 0.7794 0.5588 0.6120  4 Al 2.43-2.59
Al: 0.4633 0.9266 0.2234  5 Pt 2.42-2.64
Ho: 0.1616 0.3233 0.7033  7 Pt 3.13-3.49, 6 Al 3.13-3.21
Pt: 0.9591 0.9182 0.6659  4 Al 2.47-2.62
Ho: 0.0000 0.0000 0.0000  6 Pt 3.00-3.19, 6 Al 3.09-3.20
Pt: 0.2206 0.4412 0.3880  4 Al 2.43-2.59
Pt: 0.6135 0.2270 0.1855  4 Al 2.50-2.63
Al: 0.5367 0.0734 0.7766  5 Pt 2.42-2.64

Properties
DFT formation energy: -1.0777 eV/atom
Symmetry: C2/m, No. 12
D(E_F): 2.9 states/eV/f.u.

No. 9
Computed, not measured: crystalline Ho2AlPt at its relaxed geometry at the PBE-GGA level of DFT.

a b c (Å): 3.3112 3.3112 10.1810
angles (deg): 80.64 80.64 60.00
Closest atoms and distances in Å follow each position.
Fractional coordinates of all 4 atoms:
Al: 0.5000 0.5000 0.5000  6 Ho 3.05, 6 Al 3.31
Pt: 0.0000 0.0000 0.0000  2 Ho 2.63
Ho: 0.9125 0.9125 0.2626  1 Pt 2.63
Ho: 0.0875 0.0875 0.7374  1 Pt 2.63

Properties
DFT formation energy: -0.0501 eV/atom
Symmetry: R-3m, No. 166
D(E_F): 1.8 states/eV/f.u.
Polymorph energy (0 for the lowest one): 804 meV per atom

No. 10
Computed, not measured: crystalline Ho3Al8Pt3 at its relaxed geometry at the PBE-GGA level of DFT.

a b c (Å): 4.3623 8.1165 8.1696
angles (deg): 69.71 74.52 74.41
Closest atoms and distances in Å follow each position.
Fractional coordinates of all 14 atoms:
Al: 0.6515 0.9796 0.7174  1 Pt 2.53, 4 Al 2.64-2.78
Al: 0.1511 0.5647 0.1331  4 Pt 2.56-2.78
Al: 0.3485 0.0204 0.2826  1 Pt 2.53, 4 Al 2.64-2.78
Al: 0.5044 0.6627 0.3284  3 Pt 2.54-2.68, 3 Al 2.71-2.84
Ho: 0.0000 0.0000 0.0000  4 Pt 3.14, 8 Al 3.15-3.25
Ho: 0.7138 0.2812 0.2911  10 Al 3.00-3.25, 2 Pt 3.12
Pt: 0.3535 0.2876 0.0054  5 Al 2.53-2.64
Ho: 0.2862 0.7188 0.7089  10 Al 3.00-3.25, 2 Pt 3.12
Pt: 0.0000 0.5000 0.5000  8 Al 2.59-2.78
Al: 0.8489 0.4353 0.8669  4 Pt 2.56-2.78
Al: 0.8638 0.8456 0.4268  1 Pt 2.59, 5 Al 2.64-2.84
Al: 0.4956 0.3373 0.6716  3 Pt 2.54-2.68, 3 Al 2.71-2.84
Al: 0.1362 0.1544 0.5732  1 Pt 2.59, 5 Al 2.64-2.84
Pt: 0.6465 0.7124 0.9946  5 Al 2.53-2.64

Properties
DFT formation energy: -0.8582 eV/atom
Symmetry: C2/m, No. 12
D(E_F): 4.5 states/eV/f.u.

No. 11
Computed, not measured: crystalline Ho2Al9Pt3 at its relaxed geometry at the PBE-GGA level of DFT.

a b c (Å): 7.6448 7.6448 10.4087
angles (deg): 89.84 111.62 120.14
Closest atoms and distances in Å follow each position.
Fractional coordinates of all 28 atoms:
Pt: 0.5000 0.0000 0.0000  8 Al 2.56-2.65
Al: 0.8737 0.0195 0.0622  3 Pt 2.61-2.67, 5 Al 2.81-2.85
Al: 0.2174 0.5246 0.5763  3 Pt 2.59-2.65, 3 Al 2.77-2.85
Pt: 0.1718 0.3429 0.0000  8 Al 2.55-2.67
Pt: 0.5000 0.5000 0.5000  8 Al 2.56-2.65
Al: 0.1263 0.9805 0.9378  3 Pt 2.61-2.67, 5 Al 2.81-2.85
Ho: 0.3355 0.2467 0.7503  11 Al 3.02-3.16
Al: 0.5517 0.3589 0.0763  3 Pt 2.59-2.65, 3 Al 2.77-2.85
Al: 0.4483 0.6411 0.9237  3 Pt 2.59-2.65, 3 Al 2.77-2.85
Ho: 0.6645 0.7533 0.2497  11 Al 3.02-3.16
Ho: 0.9964 0.5852 0.7497  11 Al 3.02-3.16
Pt: 0.8429 0.1718 0.5000  8 Al 2.55-2.67
Pt: 0.1571 0.8282 0.5000  8 Al 2.55-2.67
Al: 0.8773 0.1273 0.7500  2 Pt 2.56, 6 Al 2.75-2.85
Al: 0.1227 0.8727 0.2500  2 Pt 2.56, 6 Al 2.75-2.85
Al: 0.8821 0.8584 0.5738  3 Pt 2.60-2.64, 4 Al 2.77-2.90
Al: 0.4573 0.8114 0.4378  3 Pt 2.61-2.67, 5 Al 2.81-2.85
Al: 0.2154 0.6917 0.0738  3 Pt 2.60-2.64, 4 Al 2.77-2.90
Al: 0.7846 0.3083 0.9262  3 Pt 2.60-2.64, 4 Al 2.77-2.90
Al: 0.5427 0.1886 0.5622  3 Pt 2.61-2.67, 5 Al 2.81-2.85
Al: 0.7826 0.4754 0.4237  3 Pt 2.59-2.65, 3 Al 2.77-2.85
Al: 0.6698 0.7113 0.7516  2 Pt 2.55-2.56, 6 Al 2.75-2.83
Al: 0.5403 0.0818 0.2516  2 Pt 2.55-2.56, 6 Al 2.75-2.83
Pt: 0.8282 0.6571 0.0000  8 Al 2.55-2.67
Al: 0.4597 0.9182 0.7484  2 Pt 2.55-2.56, 6 Al 2.75-2.83
Ho: 0.0036 0.4148 0.2503  11 Al 3.02-3.16
Al: 0.3302 0.2887 0.2484  2 Pt 2.55-2.56, 6 Al 2.75-2.83
Al: 0.1179 0.1416 0.4262  3 Pt 2.60-2.64, 4 Al 2.77-2.90

Properties
DFT formation energy: -0.8399 eV/atom
Symmetry: C2/c, No. 15
D(E_F): 5.7 states/eV/f.u.

No. 12
Computed, not measured: crystalline Ho3Al4Pt4 at its relaxed geometry at the PBE-GGA level of DFT.

a b c (Å): 4.1076 7.2213 8.1916
angles (deg): 116.15 104.52 90.00
Closest atoms and distances in Å follow each position.
Fractional coordinates of all 11 atoms:
Al: 0.6772 0.8756 0.3544  4 Pt 2.57-2.64, 1 Al 2.87
Pt: 0.5000 0.2045 0.0000  2 Al 2.60
Al: 0.6772 0.4787 0.3544  4 Pt 2.57-2.64, 1 Al 2.87
Pt: 0.2175 0.7175 0.4349  6 Al 2.57-2.64
Pt: 0.5000 0.7955 0.0000  2 Al 2.60
Al: 0.3228 0.5213 0.6456  4 Pt 2.57-2.64, 1 Al 2.87
Al: 0.3228 0.1244 0.6456  4 Pt 2.57-2.64, 1 Al 2.87
Pt: 0.7825 0.2825 0.5651  6 Al 2.57-2.64
Ho: 0.0000 0.5000 0.0000  6 Pt 2.96-3.07
Ho: 0.8807 0.8807 0.7614  6 Pt 3.04-3.09, 6 Al 3.10-3.21, 1 Ho 3.37
Ho: 0.1193 0.1193 0.2386  6 Pt 3.04-3.09, 6 Al 3.10-3.21, 1 Ho 3.37

Properties
DFT formation energy: -1.1498 eV/atom
Symmetry: Immm, No. 71
D(E_F): 6.2 states/eV/f.u.